VASP calculation (GGA-PBE) on a relaxed structure of TiVInCl6.

Lattice parameters (Å, degrees): 6.3768 6.3768 14.2768 90.00 90.00 120.00
Space group P-31c (No. 163)
Unique sites:
Ti  0.3333  0.6667  0.2500 (multiplicity 2)
V  0.3333  0.6667  0.7500 (multiplicity 2)
In  0.0000  0.0000  0.0000 (multiplicity 2)
Cl  0.9995  0.3684  0.6521 (multiplicity 12)

* DOS(E_F): 14.7 states/eV per cell
* ΔE_f (raw): -1270 meV/atom
* total magnetic moment: 0.44 μB/atom



VASP calculation (GGA-PBE) on a relaxed structure of TiIn2WCl.

Lattice parameters (Å, degrees): 6.008 6.008 4.816 90.00 90.00 90.00
Space group P4/mmm (No. 123)
Unique sites:
Ti  0.000  0.000  0.000 (multiplicity 1)
In  0.000  0.500  0.000 (multiplicity 2)
W  0.000  0.000  0.500 (multiplicity 1)
Cl  0.500  0.500  0.500 (multiplicity 1)

* DOS(E_F): 4.4 states/eV per cell
* ΔE_f (raw): 1061 meV/atom
* total magnetic moment: 0.36 μB/atom



VASP calculation (GGA-PBE) on a relaxed structure of Tl2InCl.

Lattice parameters (Å, degrees): 3.7785 3.7785 29.0336 90.00 90.00 120.00
Space group R-3m (No. 166, hexagonal axes)
Unique sites:
Tl  0.0000  0.0000  0.2439 (multiplicity 6)
In  0.0000  0.0000  0.0000 (multiplicity 3)
Cl  0.0000  0.0000  0.5000 (multiplicity 3)

* DOS(E_F): 7.2 states/eV per cell
* ΔE_f (raw): -313 meV/atom
* E above lowest polymorph: 41 meV per atom
* total magnetic moment: 0.00 μB/atom



VASP calculation (GGA-PBE) on a relaxed structure of Tl6InCl8.

Lattice parameters (Å, degrees): 9.5294 9.5294 6.1881 90.00 90.00 120.00
Space group P-3 (No. 147)
Unique sites:
Tl  0.0048  0.3832  0.2637 (multiplicity 6)
In  0.0000  0.0000  0.5000 (multiplicity 1)
Cl  0.0013  0.2494  0.7383 (multiplicity 6)
Cl  0.3333  0.6667  0.4966 (multiplicity 2)

* DOS(E_F): 4.0 states/eV per cell
* ΔE_f (raw): -945 meV/atom
* total magnetic moment: 0.06 μB/atom